Record 1
{"formula": "KAl3B", "functional": "PBE-GGA", "state": "relaxed", "lattice_angstrom": [[5.7645, 0.0000, 0.0000], [0.0000, 5.7645, 0.0000], [0.0000, 0.0000, 5.7645]], "species": ["K", "Al", "Al", "Al", "B"], "frac_coords": [[0.0000, 0.0000, 0.0000], [0.0000, 0.0000, 0.5000], [0.0000, 0.5000, 0.0000], [0.5000, 0.0000, 0.0000], [0.5000, 0.5000, 0.5000]], "e_tot_ev_per_atom": -1.37, "de_polymorph_mev_per_atom": 1806, "ef_ev_per_atom": 2.435, "n_ef_per_ev_cell": 4.55, "magmom_total_mub_per_atom": 0.00}

=====

Record 2
{"formula": "HoHfNiPd", "functional": "PBE-GGA", "state": "relaxed", "lattice_angstrom": [[6.6884, 0.0000, 0.0000], [0.0000, 6.6884, 0.0000], [0.0000, 0.0000, 6.6884]], "species": ["Ho", "Ho", "Ho", "Ho", "Hf", "Hf", "Hf", "Hf", "Ni", "Ni", "Ni", "Ni", "Pd", "Pd", "Pd", "Pd"], "frac_coords": [[0.0000, 0.0000, 0.0000], [0.0000, 0.5000, 0.5000], [0.5000, 0.0000, 0.5000], [0.5000, 0.5000, 0.0000], [0.0000, 0.0000, 0.5000], [0.0000, 0.5000, 0.0000], [0.5000, 0.0000, 0.0000], [0.5000, 0.5000, 0.5000], [0.2500, 0.2500, 0.7500], [0.2500, 0.7500, 0.2500], [0.7500, 0.2500, 0.2500], [0.7500, 0.7500, 0.7500], [0.2500, 0.2500, 0.2500], [0.2500, 0.7500, 0.7500], [0.7500, 0.2500, 0.7500], [0.7500, 0.7500, 0.2500]], "e_tot_ev_per_atom": -6.89, "ef_ev_per_atom": -0.510, "n_ef_per_ev_cell": 14.34, "magmom_total_mub_per_atom": 0.00}

=====

Record 3
{"formula": "Na3AsI", "functional": "PBE-GGA", "state": "relaxed", "lattice_angstrom": [[8.4937, -5.4449, 0.0000], [8.4937, 5.4449, 0.0000], [-0.3220, 0.0000, 6.8163]], "species": ["Na", "Na", "Na", "Na", "Na", "Na", "Na", "Na", "Na", "Na", "Na", "Na", "As", "As", "As", "As", "I", "I", "I", "I"], "frac_coords": [[0.0047, 0.5966, 0.1862], [0.0229, 0.1924, 0.3796], [0.1924, 0.0229, 0.8796], [0.3580, 0.4016, 0.4341], [0.4016, 0.3580, 0.9341], [0.4034, 0.9953, 0.3138], [0.5966, 0.0047, 0.6862], [0.5984, 0.6420, 0.0659], [0.6420, 0.5984, 0.5659], [0.8076, 0.9771, 0.1204], [0.9771, 0.8076, 0.6204], [0.9953, 0.4034, 0.8138], [0.2058, 0.2801, 0.1469], [0.2801, 0.2058, 0.6469], [0.7199, 0.7942, 0.3531], [0.7942, 0.7199, 0.8531], [0.1435, 0.8565, 0.2500], [0.3471, 0.6529, 0.7500], [0.6529, 0.3471, 0.2500], [0.8565, 0.1435, 0.7500]], "e_tot_ev_per_atom": -2.65, "de_polymorph_mev_per_atom": 0, "n_ef_per_ev_cell": 6.27, "magmom_total_mub_per_atom": 0.00}

=====

Record 4
{"formula": "Rb2PaBiSe4", "functional": "PBE-GGA", "state": "relaxed", "lattice_angstrom": [[8.4733, 0.0000, 0.0000], [0.0000, 4.2761, 0.0000], [-3.1386, 0.0000, 7.9690]], "species": ["Rb", "Rb", "Pa", "Bi", "Se", "Se", "Se", "Se"], "frac_coords": [[0.0000, 0.0000, 0.0000], [0.5000, 0.5000, 0.5000], [0.0000, 0.0000, 0.5000], [0.5000, 0.5000, 0.0000], [0.0835, 0.5000, 0.3305], [0.3241, 0.0000, 0.7521], [0.6759, 0.0000, 0.2479], [0.9165, 0.5000, 0.6695]], "e_tot_ev_per_atom": -4.70, "n_ef_per_ev_cell": 3.99, "magmom_total_mub_per_atom": 0.02}

=====

Record 5
{"formula": "MgBe2TcW", "functional": "PBE-GGA", "state": "relaxed", "lattice_angstrom": [[4.2996, 0.0000, 0.0000], [0.0000, 4.2996, 0.0000], [0.0000, 0.0000, 4.8740]], "species": ["Mg", "Be", "Be", "Tc", "W"], "frac_coords": [[0.0000, 0.0000, 0.0000], [0.0000, 0.5000, 0.5000], [0.5000, 0.0000, 0.5000], [0.5000, 0.5000, 0.0000], [0.0000, 0.0000, 0.5000]], "e_tot_ev_per_atom": -4.66, "ef_ev_per_atom": 1.813, "n_ef_per_ev_cell": 2.39, "magmom_total_mub_per_atom": 0.56}

=====

Record 6
{"formula": "Pm2HoEr", "functional": "PBE-GGA", "state": "relaxed", "lattice_angstrom": [[8.0683, 0.0000, 0.0000], [0.0000, 8.0683, 0.0000], [0.0000, 0.0000, 8.0683]], "species": ["Pm", "Pm", "Pm", "Pm", "Pm", "Pm", "Pm", "Pm", "Ho", "Ho", "Ho", "Ho", "Er", "Er", "Er", "Er"], "frac_coords": [[0.2500, 0.2500, 0.2500], [0.2500, 0.2500, 0.7500], [0.2500, 0.7500, 0.2500], [0.2500, 0.7500, 0.7500], [0.7500, 0.2500, 0.2500], [0.7500, 0.2500, 0.7500], [0.7500, 0.7500, 0.2500], [0.7500, 0.7500, 0.7500], [0.0000, 0.0000, 0.0000], [0.0000, 0.5000, 0.5000], [0.5000, 0.0000, 0.5000], [0.5000, 0.5000, 0.0000], [0.0000, 0.0000, 0.5000], [0.0000, 0.5000, 0.0000], [0.5000, 0.0000, 0.0000], [0.5000, 0.5000, 0.5000]], "e_tot_ev_per_atom": -4.55, "de_polymorph_mev_per_atom": 101, "ef_ev_per_atom": 0.115, "n_ef_per_ev_cell": 31.26, "magmom_total_mub_per_atom": 0.00}

=====

Record 7
{"formula": "FeCo6Ir", "functional": "PBE-GGA", "state": "relaxed", "lattice_angstrom": [[4.8207, 0.0000, 0.0000], [0.0000, 8.2026, 0.0000], [-0.3799, 0.0000, 4.8483]], "species": ["Fe", "Fe", "Co", "Co", "Co", "Co", "Co", "Co", "Co", "Co", "Co", "Co", "Co", "Co", "Ir", "Ir"], "frac_coords": [[0.0000, 0.0000, 0.0000], [0.5000, 0.5000, 0.0000], [0.0421, 0.5000, 0.7489], [0.1857, 0.2591, 0.2429], [0.1857, 0.7409, 0.2429], [0.3143, 0.2409, 0.7571], [0.3143, 0.7591, 0.7571], [0.4579, 0.0000, 0.2511], [0.5421, 0.0000, 0.7489], [0.6857, 0.2409, 0.2429], [0.6857, 0.7591, 0.2429], [0.8143, 0.2591, 0.7571], [0.8143, 0.7409, 0.7571], [0.9579, 0.5000, 0.2511], [0.0000, 0.0000, 0.5000], [0.5000, 0.5000, 0.5000]], "e_tot_ev_per_atom": -7.31, "de_polymorph_mev_per_atom": 0, "ef_ev_per_atom": 0.181, "n_ef_per_ev_cell": 17.86, "magmom_total_mub_per_atom": 1.71}

=====

Record 8
{"formula": "La2InGaO6", "functional": "PBE-GGA", "state": "relaxed", "lattice_angstrom": [[5.6639, 0.0000, 0.0000], [0.0000, 5.8193, 0.0000], [-5.6131, 0.0000, 8.1108]], "species": ["La", "La", "La", "La", "In", "In", "Ga", "Ga", "O", "O", "O", "O", "O", "O", "O", "O", "O", "O", "O", "O"], "frac_coords": [[0.2361, 0.0492, 0.2499], [0.2361, 0.4508, 0.7499], [0.7639, 0.5492, 0.2501], [0.7639, 0.9508, 0.7501], [0.5000, 0.0000, 0.0000], [0.5000, 0.5000, 0.5000], [0.0000, 0.0000, 0.5000], [0.0000, 0.5000, 0.0000], [0.1368, 0.2125, 0.9447], [0.1368, 0.2875, 0.4447], [0.2353, 0.6936, 0.9484], [0.2353, 0.8064, 0.4484], [0.3394, 0.0341, 0.7395], [0.3394, 0.4659, 0.2395], [0.6606, 0.5341, 0.7605], [0.6606, 0.9659, 0.2605], [0.7647, 0.1936, 0.5516], [0.7647, 0.3064, 0.0516], [0.8632, 0.7125, 0.5553], [0.8632, 0.7875, 0.0553]], "e_tot_ev_per_atom": -7.12, "n_ef_per_ev_cell": 0.00, "magmom_total_mub_per_atom": 0.00}

=====

Record 9
{"formula": "NdHfAl", "functional": "PBE-GGA", "state": "relaxed", "lattice_angstrom": [[3.2749, 0.0000, 0.0000], [-1.6374, 2.8361, 0.0000], [0.0000, 0.0000, 15.7726]], "species": ["Nd", "Nd", "Hf", "Hf", "Al", "Al"], "frac_coords": [[0.0000, 0.0000, 0.1750], [0.0000, 0.0000, 0.8250], [0.3333, 0.6667, 0.3528], [0.3333, 0.6667, 0.6472], [0.0000, 0.0000, 0.5000], [0.3333, 0.6667, 0.0000]], "e_tot_ev_per_atom": -6.09, "de_polymorph_mev_per_atom": 164, "ef_ev_per_atom": 0.069, "n_ef_per_ev_cell": 5.89, "magmom_total_mub_per_atom": 0.00}

=====

Record 10
{"formula": "Zr2VSb2", "functional": "PBE-GGA", "state": "relaxed", "lattice_angstrom": [[7.2826, 0.0000, 0.0000], [0.0000, 7.2826, 0.0000], [0.0000, 0.0000, 4.0514]], "species": ["Zr", "Zr", "Zr", "Zr", "V", "V", "Sb", "Sb", "Sb", "Sb"], "frac_coords": [[0.1571, 0.3429, 0.0000], [0.3429, 0.8429, 0.0000], [0.6571, 0.1571, 0.0000], [0.8429, 0.6571, 0.0000], [0.0000, 0.0000, 0.5000], [0.5000, 0.5000, 0.5000], [0.1490, 0.6490, 0.5000], [0.3510, 0.1490, 0.5000], [0.6490, 0.8510, 0.5000], [0.8510, 0.3510, 0.5000]], "e_tot_ev_per_atom": -7.22, "de_polymorph_mev_per_atom": 38, "n_ef_per_ev_cell": 5.87, "magmom_total_mub_per_atom": 0.20}

=====

Record 11
{"formula": "TbNdTh2", "functional": "PBE-GGA", "state": "relaxed", "lattice_angstrom": [[5.0642, 0.0000, 0.0000], [0.0000, 5.0943, 0.0000], [-0.0212, 0.0000, 10.2151]], "species": ["Tb", "Tb", "Nd", "Nd", "Th", "Th", "Th", "Th"], "frac_coords": [[0.9997, 0.2500, 0.1335], [0.0003, 0.7500, 0.8665], [0.5005, 0.2500, 0.8669], [0.4995, 0.7500, 0.1331], [0.9997, 0.2500, 0.6190], [0.0003, 0.7500, 0.3810], [0.4999, 0.2500, 0.3793], [0.5001, 0.7500, 0.6207]], "e_tot_ev_per_atom": -6.03, "de_polymorph_mev_per_atom": 0, "ef_ev_per_atom": 0.030, "n_ef_per_ev_cell": 13.49, "magmom_total_mub_per_atom": 0.00}

=====

Record 12
{"formula": "ReRh2Br", "functional": "PBE-GGA", "state": "relaxed", "lattice_angstrom": [[6.2091, 0.0000, 0.0000], [0.0000, 6.2091, 0.0000], [0.0000, 0.0000, 9.2291]], "species": ["Re", "Re", "Re", "Re", "Rh", "Rh", "Rh", "Rh", "Rh", "Rh", "Rh", "Rh", "Br", "Br", "Br", "Br"], "frac_coords": [[0.0000, 0.0000, 0.0000], [0.0000, 0.5000, 0.2500], [0.5000, 0.0000, 0.7500], [0.5000, 0.5000, 0.5000], [0.2200, 0.2500, 0.1250], [0.2500, 0.7200, 0.3750], [0.2500, 0.7800, 0.8750], [0.2800, 0.2500, 0.6250], [0.7200, 0.7500, 0.6250], [0.7500, 0.2200, 0.8750], [0.7500, 0.2800, 0.3750], [0.7800, 0.7500, 0.1250], [0.0000, 0.0000, 0.5000], [0.0000, 0.5000, 0.7500], [0.5000, 0.0000, 0.2500], [0.5000, 0.5000, 0.0000]], "e_tot_ev_per_atom": -6.41, "de_polymorph_mev_per_atom": 494, "n_ef_per_ev_cell": 15.60, "magmom_total_mub_per_atom": 0.00}